Below is an optimized crystal structure of Ba3NiI, with properties calculated at the PBE level.

Calculated values
Its spin magnetization is 0.066 μB per atom. For the energy above the lowest structure with this stoichiometry, the calculation gives 0.00 eV per formula unit. Its energy relative to the elements, uncorrected is -494 meV per atom.

Unit cell a=10.147 b=4.365 c=10.718 alpha=90.00 beta=110.62 gamma=90.00
Space group P2_1/m (No. 11)
Asymmetric unit:
Ba 0.061 0.250 0.266 [2 per cell]
Ba 0.292 0.750 0.623 [2 per cell]
Ba 0.308 0.250 0.007 [2 per cell]
Ni 0.030 0.250 0.545 [2 per cell]
I 0.377 0.750 0.310 [2 per cell]


Below is an optimized crystal structure of Cs2ZnI, with properties calculated at the PBE level.

Calculated values
Its spin magnetization is 0.000 μB per atom. For the energy above the lowest structure with this stoichiometry, the calculation gives 0.00 eV per formula unit. Its energy relative to the elements, uncorrected is -603 meV per atom.

Unit cell a=4.699 b=4.699 c=9.255 alpha=90.00 beta=90.00 gamma=90.00
Space group P4/mmm (No. 123)
Asymmetric unit:
Cs 0.000 0.000 0.242 [2 per cell]
Zn 0.500 0.500 0.500 [1 per cell]
I 0.500 0.500 0.000 [1 per cell]


Below is an optimized crystal structure of Rb3Cu2AgBr8, with properties calculated at the PBE level.

Calculated values
Its spin magnetization is 0.000 μB per atom. Its energy relative to the elements, uncorrected is -914 meV per atom.

Unit cell a=7.5498 b=7.5498 c=9.7574 alpha=90.00 beta=90.00 gamma=120.00
Space group P-3m1 (No. 164)
Asymmetric unit:
Rb 0.0000 0.0000 0.0000 [1 per cell]
Rb 0.3333 0.6667 0.6243 [2 per cell]
Cu 0.3333 0.6667 0.2079 [2 per cell]
Ag 0.0000 0.0000 0.5000 [1 per cell]
Br 0.1668 0.3337 0.3238 [6 per cell]
Br 0.3333 0.6667 0.9707 [2 per cell]


Below is an optimized crystal structure of PmAs4, with properties calculated at the PBE level.

Calculated values
The energy of formation from the pure elements comes out at 0.895 eV per atom. Its spin magnetization is 0.000 μB per atom.

Unit cell a=5.496 b=5.496 c=5.496 alpha=90.00 beta=90.00 gamma=90.00
Space group Pm-3m (No. 221)
Asymmetric unit:
Pm 0.000 0.000 0.000 [1 per cell]
As 0.000 0.000 0.500 [3 per cell]
As 0.500 0.500 0.500 [1 per cell]